Density functional theory data (PBE+U) for a relaxed K4PbW3O12 crystal.

a = 7.2415 Å, b = 7.2415 Å, c = 7.2415 Å
α = 109.47°, β = 109.47°, γ = 109.47°
Closest atoms and distances in Å follow each position.
Fractional positions:
K  0.0000  0.0000  0.5000  12 O 2.96-2.97
K  0.5000  0.5000  0.5000  12 O 2.96-2.97
K  0.0000  0.5000  0.0000  12 O 2.96-2.97
K  0.5000  0.0000  0.0000  12 O 2.96-2.97
O  0.7500  0.2500  0.5000  2 W 2.09
O  0.2500  0.7500  0.5000  2 W 2.09
O  0.7193  0.0000  0.7193  1 W 1.83
O  0.2807  0.2807  0.0000  1 W 1.83
O  0.2500  0.5000  0.7500  2 W 2.09
O  0.7500  0.5000  0.2500  2 W 2.09
O  0.5000  0.2500  0.7500  2 W 2.09
O  0.7193  0.7193  0.0000  1 W 1.83
O  0.0000  0.2807  0.2807  1 W 1.83
O  0.5000  0.7500  0.2500  2 W 2.09
O  0.0000  0.7193  0.7193  1 W 1.83
O  0.2807  0.0000  0.2807  1 W 1.83
W  0.0000  0.5000  0.5000  2 O 1.83
W  0.5000  0.5000  0.0000  2 O 1.83
W  0.5000  0.0000  0.5000  2 O 1.83
Pb  0.0000  0.0000  0.0000  6 O 2.35

Summary:
Space-group type ... Im-3m (229)
M_tot ... 0.0040 μB/atom
Electronic total energy ... -6.29 eV/atom